Material: Er15Tm4Th
Method: DFT, PBE
State: relaxed

Lattice parameters (Å, degrees): 4.966 4.966 24.749 90.00 90.00 90.00
Space group P4/mmm (No. 123)
Asymmetric unit:
Er1 0.000 0.000 0.000
Er2 0.000 0.000 0.202
Er3 0.000 0.000 0.400
Er4 0.000 0.500 0.100
Er5 0.000 0.500 0.300
Er6 0.000 0.500 0.500
Tm1 0.500 0.500 0.201
Tm2 0.500 0.500 0.400
Th1 0.500 0.500 0.000

Output
spin magnetization	0.0	μB per cell
D(E_F)	1.4231	states/eV/atom
energy of formation	0.027	eV per atom

Material: KLaZr2
Method: DFT, PBE
State: relaxed

Lattice parameters (Å, degrees): 4.488 4.488 23.676 90.00 90.00 90.00
Space group I-42d (No. 122)
Asymmetric unit:
K1 0.000 0.000 0.000
La1 0.000 0.000 0.500
Zr1 0.237 0.250 0.625

Output
spin magnetization	2.7	μB per cell
D(E_F)	1.2416	states/eV/atom
energy of formation	0.988	eV per atom
energy above the most stable polymorph in this dataset	665	meV/atom

Material: CeNpSbN2
Method: DFT, PBE
State: relaxed

Lattice parameters (Å, degrees): 3.891 3.891 12.789 90.00 90.00 90.00
Space group I4mm (No. 107)
Asymmetric unit:
Ce1 0.000 0.000 0.000
Np1 0.000 0.000 0.678
Sb1 0.000 0.000 0.337
N1 0.000 0.500 0.099

Output
spin magnetization	4.9	μB per cell
D(E_F)	1.8037	states/eV/atom

Material: Na5Tl2Pb4
Method: DFT, PBE
State: relaxed

Lattice parameters (Å, degrees): 7.621 17.512 4.993 90.00 90.00 90.00
Space group Pbam (No. 55)
Asymmetric unit:
Na1 0.000 0.000 0.000
Na2 0.106 0.413 0.000
Na3 0.193 0.193 0.000
Tl1 0.008 0.298 0.500
Pb1 0.096 0.874 0.500
Pb2 0.203 0.546 0.500

Output
spin magnetization	0.0	μB per cell
D(E_F)	0.4397	states/eV/atom
energy of formation	-0.088	eV per atom
energy above the most stable polymorph in this dataset	0	meV/atom

Material: Li2CaAg4
Method: DFT, PBE
State: relaxed

Lattice parameters (Å, degrees): 7.226 7.226 5.279 90.00 90.00 90.00
Space group I4/mmm (No. 139)
Asymmetric unit:
Li1 0.000 0.500 0.250
Ca1 0.000 0.000 0.000
Ag1 0.197 0.197 0.500

Output
spin magnetization	0.0	μB per cell
D(E_F)	0.3757	states/eV/atom
energy of formation	-0.230	eV per atom

Material: La3SmMg
Method: DFT, PBE
State: relaxed

Lattice parameters (Å, degrees): 3.893 9.455 10.106 90.00 101.10 90.00
Space group P2_1/m (No. 11)
Asymmetric unit:
La1 0.095 0.002 0.188
La2 0.305 0.250 0.608
Sm1 0.493 0.250 0.987
Mg1 0.331 0.750 0.665

Output
spin magnetization	0.0	μB per cell
D(E_F)	1.2647	states/eV/atom
energy of formation	0.159	eV per atom
energy above the most stable polymorph in this dataset	174	meV/atom

no.,DFT total energy (eV per cell)
1,-93.2
2,-76.7
3,-91.0
4,-54.3
5,-37.7
6,-40.6